This record from Alexandria describes a relaxed CaSc2In2Hg2 crystal. The functional is GGA-PBE.

**Energy relative to the elements**: -281 meV per atom
**Total moment**: 0.0 μB per formula unit
**Density**: 7.01 g/cm3

Unit cell a=4.8255 b=4.8255 c=9.3662 alpha=75.07 beta=75.07 gamma=60.00
Positions (direct):
Sc (0.8635, 0.8635, 0.4095)
Sc (0.1365, 0.1365, 0.5905)
Ca (0.0000, 0.0000, 0.0000)
Hg (0.5598, 0.5598, 0.3207)
Hg (0.4402, 0.4402, 0.6793)
In (0.2601, 0.2601, 0.2197)
In (0.7399, 0.7399, 0.7803)